Entry 1:
A plane-wave DFT calculation with PBE was carried out for NiAsRu2 after structural relaxation.

a = 2.822 Å, b = 3.651 Å, c = 5.309 Å
α = 90.00°, β = 90.00°, γ = 90.00°
Element x y z (fractional)
Ni 0.000 0.000 0.000
As 0.500 0.500 0.770
Ru 0.000 0.000 0.485
Ru 0.500 0.500 0.243

Calculated values
Energy relative to the elements ... 0.10 eV per atom

Entry 2:
A plane-wave DFT calculation with PBE was carried out for PmHoSiIr after structural relaxation.

a = 3.966 Å, b = 5.811 Å, c = 5.811 Å
α = 42.67°, β = 90.00°, γ = 90.00°
Element x y z (fractional)
Pm 0.000 0.000 0.000
Ho 0.500 0.282 0.282
Si 0.500 0.584 0.584
Ir 0.000 0.723 0.723

Calculated values
Formation energy (no corrections) ... -824 meV per atom

Entry 3:
A plane-wave DFT calculation with PBE was carried out for Pm3Cd3In2 after structural relaxation.

a = 9.805 Å, b = 9.805 Å, c = 5.084 Å
α = 104.92°, β = 104.92°, γ = 27.13°
Element x y z (fractional)
Pm 0.000 0.000 0.000
Pm 0.135 0.135 0.633
Pm 0.865 0.865 0.367
Cd 0.371 0.371 0.873
Cd 0.500 0.500 0.500
Cd 0.629 0.629 0.127
In 0.242 0.242 0.241
In 0.758 0.758 0.759

Calculated values
Energy relative to the elements ... -0.30 eV per atom

Entry 4:
A plane-wave DFT calculation with PBE was carried out for Ho6PC2S3 after structural relaxation.

a = 8.570 Å, b = 8.570 Å, c = 7.742 Å
α = 103.99°, β = 103.99°, γ = 25.45°
Element x y z (fractional)
Ho 0.014 0.014 0.256
Ho 0.324 0.324 0.437
Ho 0.331 0.331 0.884
Ho 0.669 0.669 0.116
Ho 0.676 0.676 0.563
Ho 0.986 0.986 0.744
P 0.500 0.500 0.000
C 0.169 0.169 0.337
C 0.831 0.831 0.663
S 0.163 0.163 0.833
S 0.500 0.500 0.500
S 0.837 0.837 0.167

Calculated values
Formation energy (no corrections) ... -1487 meV per atom

Entry 5:
A plane-wave DFT calculation with PBE was carried out for Pt2PbBr after structural relaxation.

a = 5.101 Å, b = 5.101 Å, c = 7.077 Å
α = 120.48°, β = 120.48°, γ = 42.05°
Element x y z (fractional)
Pt 0.153 0.153 0.345
Pt 0.847 0.847 0.655
Pb 0.500 0.500 0.500
Br 0.500 0.500 0.000

Calculated values
Formation energy (no corrections) ... 60 meV per atom

Entry 6:
A plane-wave DFT calculation with PBE was carried out for MgAlPt2 after structural relaxation.

a = 4.441 Å, b = 4.441 Å, c = 5.279 Å
α = 100.72°, β = 100.72°, γ = 38.55°
Element x y z (fractional)
Mg 0.000 0.000 0.000
Al 0.500 0.500 0.500
Pt 0.240 0.240 0.738
Pt 0.760 0.760 0.262

Calculated values
Energy relative to the elements ... -0.69 eV per atom

The spin magnetization results, record by record, are as follows: 0.0, 0.0, 0.0, 0.0, 0.0, 0.0 μB/f.u..
The E results, record by record, are as follows: -28.57, -26.91, -24.90, -81.55, -17.22, -20.18 eV/cell.